12
Lattice="3.505 0.000 0.000 0.000 6.930 0.954 0.000 -2.588 9.345" Properties=species:S:1:pos:R:3 comment="BaCaCdO3, optimized geometry, DFT PBE" crystal_system=monoclinic space_group="P2_1/m (11)" total_energy_ev_per_atom=-5.348 formation_energy_uncorrected_ev_per_atom=-2.062 pbc="T T T"
Cd 0.876 -0.416 5.742
Cd 2.628 4.758 4.556
Ca 2.628 0.096 8.654
Ca 0.876 4.246 1.644
O 0.876 -1.253 7.758
O 0.876 1.775 8.727
O 2.628 0.133 4.505
O 2.628 5.596 2.540
O 0.876 4.209 5.793
O 2.628 2.567 1.572
Ba 0.876 0.720 2.418
Ba 2.628 3.622 7.880

=====

5
Lattice="4.894 0.000 0.000 0.000 4.894 0.000 0.000 0.000 5.714" Properties=species:S:1:pos:R:3 comment="BaCa2CdO, optimized geometry, DFT PBE" crystal_system=tetragonal space_group="P4/mmm (123)" total_energy_ev_per_atom=-3.545 formation_energy_uncorrected_ev_per_atom=-1.185 pbc="T T T"
Cd 2.447 2.447 2.857
Ca 2.447 0.000 0.000
Ca 0.000 2.447 0.000
Ba 0.000 0.000 2.857
O 0.000 0.000 0.000

=====

10
Lattice="5.390 0.000 0.000 0.000 7.493 0.243 0.000 -1.999 7.623" Properties=species:S:1:pos:R:3 comment="BaCaCdP2, optimized geometry, DFT PBE" crystal_system=monoclinic space_group="P2/c (13)" total_energy_ev_per_atom=-3.884 pbc="T T T"
Cd 0.000 0.000 0.000
Cd 0.000 -1.000 3.812
P 1.563 4.688 3.637
P 3.826 3.688 7.448
P 3.826 0.805 4.229
P 1.563 1.805 0.418
Ba 1.096 2.247 5.839
Ba 4.294 3.247 2.027
Ca 2.616 -0.500 1.906
Ca 2.773 -1.500 5.717

=====

5
Lattice="6.302 0.000 0.000 0.000 6.302 0.000 0.000 0.000 5.461" Properties=species:S:1:pos:R:3 comment="Ba2CaCdP, optimized geometry, DFT PBE" crystal_system=tetragonal space_group="P4/mmm (123)" total_energy_ev_per_atom=-2.941 pbc="T T T"
P 0.000 0.000 0.000
Ba 0.000 3.151 0.000
Ba 3.151 0.000 0.000
Ca 0.000 0.000 2.730
Cd 3.151 3.151 2.730

=====

7
Lattice="5.211 0.000 0.000 2.606 4.513 0.000 2.606 1.504 9.607" Properties=species:S:1:pos:R:3 comment="BaCa2Cd2Pb2, optimized geometry, DFT PBE" crystal_system=trigonal space_group="R-3m (166)" total_energy_ev_per_atom=-2.598 pbc="T T T"
Cd 5.211 3.009 3.223
Cd 5.211 3.009 6.384
Ca 2.606 1.504 5.629
Ca 7.817 4.513 3.977
Ba 0.000 0.000 0.000
Pb 7.817 4.513 7.411
Pb 2.606 1.504 2.196

=====

5
Lattice="-0.495 2.716 -6.067 2.665 -5.492 -2.676 -4.952 -2.134 -0.551" Properties=species:S:1:pos:R:3 comment="Ba2CaCdPd, optimized geometry, DFT PBE" relative_energy_kj_per_mol_fu=473 crystal_system=tetragonal space_group="P4/mmm (123)" total_energy_ev_per_atom=-1.696 pbc="T T T"
Cd -2.476 -1.067 -0.276
Ba 1.333 -2.746 -1.338
Ba -0.247 1.358 -3.033
Ca 0.000 0.000 0.000
Pd -1.391 -2.455 -4.647